1.
The following is a DFT calculation (PBE) of a geometry-optimized Ba4Tc structure.

a b c (Å): 6.244 6.244 6.244
angles (deg): 90.00 90.00 90.00
Space group Pm-3m (No. 221)
Asymmetric unit:
Ba (0.000, 0.000, 0.000)
Ba (0.000, 0.500, 0.500)
Tc (0.500, 0.500, 0.500)

Calculated values
Formation enthalpy at 0 K (eV/atom): 0.468
Distance to the lowest polymorph of the same formula (meV/atom): 0
VASP energy (Ha/atom): -0.11552


2.
The following is a DFT calculation (PBE) of a geometry-optimized Li2GeAsO6 structure.

a b c (Å): 4.850 4.850 4.890
angles (deg): 90.00 90.00 90.00
Space group P4mm (No. 99)
Asymmetric unit:
Li (0.000, 0.500, 0.000)
Ge (0.000, 0.000, 0.556)
As (0.500, 0.500, 0.573)
O (0.000, 0.000, 0.207)
O (0.253, 0.253, 0.717)
O (0.500, 0.500, 0.230)

Calculated values
VASP energy (Ha/atom): -0.20629
ΔE_f (raw) (eV/atom): -1.33


3.
The following is a DFT calculation (PBE) of a geometry-optimized CdCu2As2 structure.

a b c (Å): 7.040 7.040 3.432
angles (deg): 90.00 90.00 90.00
Space group P4/mbm (No. 127)
Asymmetric unit:
Cd (0.000, 0.000, 0.000)
Cu (0.126, 0.374, 0.000)
As (0.168, 0.668, 0.500)

Calculated values
Formation enthalpy at 0 K (eV/atom): 0.188
Distance to the lowest polymorph of the same formula (meV/atom): 82
VASP energy (Ha/atom): -0.12838


4.
The following is a DFT calculation (PBE) of a geometry-optimized InHg2 structure.

a b c (Å): 3.510 4.515 10.077
angles (deg): 90.00 90.00 90.00
Space group Immm (No. 71)
Asymmetric unit:
In (0.000, 0.000, 0.000)
Hg (0.000, 0.000, 0.333)

Calculated values
Formation enthalpy at 0 K (eV/atom): 0.004
VASP energy (Ha/atom): -0.04078


5.
The following is a DFT calculation (PBE) of a geometry-optimized Na4Sn5Pb2 structure.

a b c (Å): 8.396 3.229 11.234
angles (deg): 90.00 93.93 90.00
Space group P2/m (No. 10)
Asymmetric unit:
Na (0.162, 0.000, 0.402)
Na (0.303, 0.000, 0.945)
Sn (0.209, 0.500, 0.668)
Sn (0.435, 0.500, 0.218)
Sn (0.500, 0.500, 0.500)
Pb (0.058, 0.500, 0.141)

Calculated values
Formation enthalpy at 0 K (eV/atom): -0.128
VASP energy (Ha/atom): -0.11399


6.
The following is a DFT calculation (PBE) of a geometry-optimized Sr2AgGeCl structure.

a b c (Å): 6.187 6.187 4.720
angles (deg): 90.00 90.00 90.00
Space group P4/mmm (No. 123)
Asymmetric unit:
Sr (0.000, 0.500, 0.000)
Ag (0.000, 0.000, 0.000)
Ge (0.500, 0.500, 0.500)
Cl (0.000, 0.000, 0.500)

Calculated values
VASP energy (Ha/atom): -0.09580
ΔE_f (raw) (eV/atom): -0.07


7.
The following is a DFT calculation (PBE) of a geometry-optimized TmPu2Sc8 structure.

a b c (Å): 16.522 5.978 5.633
angles (deg): 90.00 96.33 90.00
Space group C2/m (No. 12)
Asymmetric unit:
Tm (0.000, 0.000, 0.000)
Pu (0.241, 0.500, 0.387)
Sc (0.095, 0.246, 0.532)
Sc (0.102, 0.500, 0.025)
Sc (0.204, 0.000, 0.089)

Calculated values
Formation enthalpy at 0 K (eV/atom): 0.177
VASP energy (Ha/atom): -0.27344


8.
The following is a DFT calculation (PBE) of a geometry-optimized Ta3C structure.

a b c (Å): 4.968 4.968 4.968
angles (deg): 90.00 90.00 90.00
Space group Pm-3n (No. 223)
Asymmetric unit:
Ta (0.000, 0.250, 0.500)
C (0.000, 0.000, 0.000)

Calculated values
Formation enthalpy at 0 K (eV/atom): 0.931
Distance to the lowest polymorph of the same formula (meV/atom): 1293
VASP energy (Ha/atom): -0.37721